The following is a DFT calculation (PBE) of Hf6Sn2N after structural relaxation.

Its calculated density is 12.4 g/cm3. For the volume, the calculation gives 19.7 Å³/atom. The value obtained for the uncorrected formation energy is -0.3693 eV per atom. Its space group is Amm2. The raw total energy comes out at -8.819 eV per atom.

a b c (Å): 3.356 7.897 7.776
angles (deg): 120.51 90.00 90.00
Fractional coordinates of all 9 atoms:
Hf1 0.500 0.593 0.000
Hf2 0.500 0.383 0.390
Hf3 0.500 0.993 0.610
Hf4 0.000 0.237 0.000
Hf5 0.000 0.766 0.776
Hf6 0.000 0.990 0.224
Sn1 0.000 0.322 0.660
Sn2 0.000 0.662 0.340
N1 0.500 0.054 0.000

***

The following is a DFT calculation (PBE) of NaNiN after structural relaxation.

Its calculated density is 4.1 g/cm3. For the volume, the calculation gives 12.8 Å³/atom. The value obtained for the uncorrected formation energy is 0.0977 eV per atom. Its space group is P1. The raw total energy comes out at -5.044 eV per atom.

a b c (Å): 3.101 5.702 5.312
angles (deg): 121.01 91.37 104.41
Fractional coordinates of all 6 atoms:
Na1 0.915 0.014 0.334
Na2 0.362 0.926 0.798
Ni1 0.114 0.459 0.209
Ni2 0.656 0.476 0.785
N1 0.605 0.419 0.403
N2 0.228 0.621 0.989